Material: Na2ErCoF8
Method: DFT, PBE with a Hubbard U
State: relaxed

Structure (POSCAR):
```
Na2ErCoF8
1.0
-3.004 -3.888 0.479
3.932 -3.078 -1.495
1.892 -0.677 6.367
Na Er Co F
2 1 1 8
direct
0.500 0.500 0.758 Na
0.500 0.500 0.242 Na
0.000 0.000 0.500 Er
0.000 0.000 0.000 Co
0.183 0.823 0.231 F
0.738 0.746 0.000 F
0.817 0.177 0.231 F
0.817 0.177 0.769 F
0.262 0.254 0.000 F
0.183 0.823 0.769 F
0.698 0.708 0.500 F
0.302 0.292 0.500 F
```

Computed properties:
- DFT total energy (eV/atom) = -5.2299
- symmetry = P2/m, No. 10
- N(E_F) (states/eV/f.u.) = 0.00